Y2Ho2Ga4Pt | PBE | optimized geometry

a b c (Å): 6.5879 6.5879 6.5879
angles (deg): 98.06 115.46 115.46
Fractional coordinates of all 9 atoms:
1 Y 0.0000 0.6890 0.6890
2 Y 0.0000 0.3110 0.3110
3 Pt 0.0000 0.0000 0.0000
4 Ga 0.5006 0.7503 0.7503
5 Ga 0.0000 0.2497 0.7503
6 Ga 0.4994 0.2497 0.2497
7 Ga 0.0000 0.7503 0.2497
8 Ho 0.5000 0.7500 0.2500
9 Ho 0.5000 0.2500 0.7500

* DOS(E_F): 0.714 states/eV per atom
* E_form: -406 kJ/mol of formula units
* DFT total energy: -4.938 eV per atom

---

YHoGaPt | PBE | optimized geometry

a b c (Å): 3.7707 4.4167 5.7936
angles (deg): 90.00 108.99 90.00
Fractional coordinates of all 4 atoms:
1 Pt 0.5786 0.5000 0.1571
2 Y 0.8566 0.5000 0.7133
3 Ga 0.4234 0.0000 0.8468
4 Ho 0.1414 0.0000 0.2828

* DOS(E_F): 0.764 states/eV per atom
* E_form: -368 kJ/mol of formula units
* DFT total energy: -5.980 eV per atom

---

HoZnGa2Pt2 | PBE | optimized geometry

a b c (Å): 4.3748 4.3748 6.4291
angles (deg): 90.00 90.00 120.00
Fractional coordinates of all 6 atoms:
1 Zn 0.0000 0.0000 0.5000
2 Pt 0.3333 0.6667 0.7166
3 Pt 0.6667 0.3333 0.2834
4 Ho 0.0000 0.0000 0.0000
5 Ga 0.6667 0.3333 0.7095
6 Ga 0.3333 0.6667 0.2905

* DOS(E_F): 0.429 states/eV per atom
* E_form: -462 kJ/mol of formula units
* DFT total energy: -4.796 eV per atom

---

HoZnGaPt | PBE | optimized geometry

a b c (Å): 4.6771 4.6771 4.6771
angles (deg): 60.00 60.00 60.00
Fractional coordinates of all 4 atoms:
1 Pt 0.7500 0.7500 0.7500
2 Ga 0.5000 0.5000 0.5000
3 Zn 0.2500 0.2500 0.2500
4 Ho 0.0000 0.0000 0.0000

* DOS(E_F): 0.387 states/eV per atom
* E_form: -258 kJ/mol of formula units
* DFT total energy: -4.399 eV per atom

---

HoZrGaPt | PBE | optimized geometry

a b c (Å): 4.8725 4.8725 4.8725
angles (deg): 60.00 60.00 60.00
Fractional coordinates of all 4 atoms:
1 Zr 0.5000 0.5000 0.5000
2 Ga 0.2500 0.2500 0.2500
3 Ho 0.0000 0.0000 0.0000
4 Pt 0.7500 0.7500 0.7500

* DOS(E_F): 0.876 states/eV per atom
* E_form: -272 kJ/mol of formula units
* DFT total energy: -6.253 eV per atom

---

Ho2ZrGa3Pt4 | PBE | optimized geometry

a b c (Å): 4.0968 4.0968 11.5023
angles (deg): 90.00 90.00 90.00
Fractional coordinates of all 10 atoms:
1 Ho 0.5000 0.0000 0.2346
2 Ho 0.0000 0.5000 0.7654
3 Ga 0.5000 0.0000 0.8691
4 Ga 0.0000 0.0000 0.5000
5 Ga 0.0000 0.5000 0.1309
6 Pt 0.5000 0.5000 0.0000
7 Pt 0.5000 0.0000 0.6546
8 Pt 0.0000 0.0000 0.0000
9 Pt 0.0000 0.5000 0.3454
10 Zr 0.5000 0.5000 0.5000

* DOS(E_F): 0.657 states/eV per atom
* E_form: -928 kJ/mol of formula units
* DFT total energy: -6.056 eV per atom

---

HoPuGa2 | PBE | optimized geometry

a b c (Å): 5.0470 5.0470 5.0470
angles (deg): 60.00 60.00 60.00
Each line ends with the local moment (μB).
Fractional coordinates of all 4 atoms:
1 Pu 0.5000 0.5000 0.5000  5.28
2 Ga 0.2500 0.2500 0.2500  -0.01
3 Ga 0.7500 0.7500 0.7500  -0.01
4 Ho 0.0000 0.0000 0.0000  0.13

* DOS(E_F): 1.823 states/eV per atom
* E_form: -160 kJ/mol of formula units
* DFT total energy: -6.656 eV per atom

---

HoPuGa | PBE | optimized geometry

a b c (Å): 3.5769 3.5769 6.4023
angles (deg): 106.22 106.22 90.00
Each line ends with the local moment (μB).
Fractional coordinates of all 3 atoms:
1 Pu 0.9315 0.9315 0.8630  5.55
2 Ho 0.6375 0.6375 0.2749  0.30
3 Ga 0.2810 0.2810 0.5620  -0.01

* DOS(E_F): 2.274 states/eV per atom
* E_form: -63 kJ/mol of formula units
* DFT total energy: -7.530 eV per atom

---

HoPuGa | PBE | optimized geometry

a b c (Å): 7.7037 7.7037 7.7037
angles (deg): 60.00 60.00 60.00
Each line ends with the local moment (μB).
Fractional coordinates of all 12 atoms:
1 Ho 0.1416 0.6195 0.6195  0.14
2 Ho 0.6195 0.6195 0.1416  0.14
3 Ho 0.6195 0.1416 0.6195  0.14
4 Ho 0.6195 0.6195 0.6195  0.14
5 Ga 0.8955 0.3135 0.8955  0.03
6 Ga 0.8955 0.8955 0.8955  0.03
7 Ga 0.8955 0.8955 0.3135  0.03
8 Ga 0.3135 0.8955 0.8955  0.03
9 Pu 0.1520 0.1520 0.5439  5.58
10 Pu 0.1520 0.5439 0.1520  5.58
11 Pu 0.5439 0.1520 0.1520  5.58
12 Pu 0.1520 0.1520 0.1520  5.58

* DOS(E_F): 2.610 states/eV per atom
* E_form: 2 kJ/mol of formula units
* DFT total energy: -7.304 eV per atom